Computed, not measured: VPb2Se3O10 after structural relaxation at the GGA-PBEsol level of DFT.

Values from the calculation:
**Uncorrected formation energy**: -19.7 eV per formula unit
**Spin magnetization**: 4.0 μB/cell
**Uncorrected energy**: -101.41 eV per formula unit

Cell: 5.204 15.969 12.271 Å, 90.00 114.10 90.00°
Space group P2_1/c (No. 14)
One atom of each set of equivalent atoms:
V1 0.189 0.192 0.440 x4
Pb1 0.195 0.088 0.937 x4
Pb2 0.436 0.506 0.187 x4
Se1 0.103 0.626 0.343 x4
Se2 0.180 0.651 0.912 x4
Se3 0.456 0.711 0.708 x4
O1 0.059 0.616 0.196 x4
O2 0.087 0.118 0.544 x4
O3 0.138 0.577 0.807 x4
O4 0.169 0.744 0.583 x4
O5 0.170 0.069 0.150 x4
O6 0.250 0.243 0.299 x4
O7 0.364 0.550 0.400 x4
O8 0.379 0.233 0.030 x4
O9 0.481 0.611 0.659 x4
O10 0.487 0.614 0.029 x4

***

Computed, not measured: V2Pb2Se2O11 after structural relaxation at the GGA-PBEsol level of DFT.

Values from the calculation:
**Uncorrected formation energy**: -26.7 eV per formula unit
**Spin magnetization**: 0.0 μB/cell
**Uncorrected energy**: -119.37 eV per formula unit

Cell: 6.799 7.142 9.784 Å, 96.79 93.08 95.56°
Space group P-1 (No. 2)
One atom of each set of equivalent atoms:
V1 0.159 0.161 0.450 x2
V2 0.164 0.055 0.754 x2
Pb1 0.327 0.856 0.101 x2
Pb2 0.371 0.550 0.745 x2
Se1 0.161 0.598 0.403 x2
Se2 0.162 0.341 0.052 x2
O1 0.032 0.369 0.378 x2
O2 0.045 0.177 0.913 x2
O3 0.053 0.295 0.632 x2
O4 0.135 0.027 0.290 x2
O5 0.168 0.974 0.566 x2
O6 0.228 0.532 0.963 x2
O7 0.242 0.875 0.825 x2
O8 0.274 0.598 0.252 x2
O9 0.366 0.217 0.776 x2
O10 0.381 0.276 0.469 x2
O11 0.384 0.250 0.079 x2

***

Computed, not measured: V2Pb4Se6O21 after structural relaxation at the GGA-PBEsol level of DFT.

Values from the calculation:
**Uncorrected formation energy**: -41.3 eV per formula unit
**Spin magnetization**: 0.0 μB/cell
**Uncorrected energy**: -209.94 eV per formula unit

Cell: 12.210 24.836 12.984 Å, 90.00 90.00 90.00°
Space group Fdd2 (No. 43)
One atom of each set of equivalent atoms:
V1 0.109 0.367 0.000 x16
Pb1 0.105 0.288 0.258 x16
Pb2 0.120 0.370 0.535 x16
Se1 0.100 0.441 0.295 x16
Se2 0.106 0.049 0.532 x16
Se3 0.120 0.470 0.751 x16
O1 0.000 0.000 0.316 x8
O2 0.016 0.072 0.720 x16
O3 0.028 0.096 0.464 x16
O4 0.045 0.288 0.693 x16
O5 0.048 0.444 0.418 x16
O6 0.060 0.444 0.644 x16
O7 0.061 0.331 0.096 x16
O8 0.065 0.275 0.454 x16
O9 0.069 0.343 0.861 x16
O10 0.074 0.170 0.795 x16
O11 0.084 0.130 0.052 x16

***

Computed, not measured: SiPbO2 after structural relaxation at the GGA-PBEsol level of DFT.

Values from the calculation:
**Energy above the lowest structure with this stoichiometry**: 4.97 eV/f.u.
**Uncorrected formation energy**: -1.1 eV per formula unit
**Spin magnetization**: 0.0 μB/cell
**Uncorrected energy**: -21.31 eV per formula unit

Cell: 5.995 5.995 5.995 Å, 90.00 90.00 90.00°
Space group Fm-3m (No. 225)
One atom of each set of equivalent atoms:
Si1 0.000 0.000 0.000 x4
Pb1 0.000 0.000 0.500 x4
O1 0.250 0.250 0.250 x8

***

Computed, not measured: SiPbO2 after structural relaxation at the GGA-PBEsol level of DFT.

Values from the calculation:
**Energy above the lowest structure with this stoichiometry**: 0.00 eV/f.u.
**Uncorrected formation energy**: -6.0 eV per formula unit
**Spin magnetization**: 0.0 μB/cell
**Uncorrected energy**: -26.29 eV per formula unit

Cell: 2.8690 2.8690 28.9610 Å, 90.00 90.00 120.00°
Space group R-3m (No. 166, hexagonal axes)
One atom of each set of equivalent atoms:
Si1 0.0000 0.0000 0.0000 x3
Pb1 0.0000 0.0000 0.5000 x3
O1 0.0000 0.0000 0.3630 x6

***

Computed, not measured: Zn4SiTePbO10 after structural relaxation at the GGA-PBEsol level of DFT.

Values from the calculation:
**Uncorrected formation energy**: -27.1 eV per formula unit
**Spin magnetization**: 0.0 μB/cell
**Uncorrected energy**: -99.18 eV per formula unit

Cell: 6.534 15.599 8.289 Å, 90.00 90.00 90.00°
Space group Pnma (No. 62)
One atom of each set of equivalent atoms:
Zn1 0.029 0.066 0.123 x8
Zn2 0.214 0.136 0.771 x8
Si1 0.067 0.750 0.009 x4
Te1 0.000 0.000 0.500 x4
Pb1 0.058 0.750 0.587 x4
O1 0.026 0.586 0.328 x8
O2 0.027 0.591 0.658 x8
O3 0.085 0.166 0.983 x8
O4 0.197 0.750 0.842 x4
O5 0.206 0.516 0.007 x8
O6 0.222 0.750 0.167 x4